i) A relaxed structure of DySnPd5, computed with PBE.

Cell: 4.1223 4.1223 7.5904 Å, 90.00 90.00 90.00°
With the nearest neighbours (Å) after each atom.
Sites, in units of the cell vectors:
Dy (0.0000, 0.0000, 0.5000)  12 Pd 2.91-2.92
Sn (0.5000, 0.5000, 0.0000)  8 Pd 2.69
Pd (0.0000, 0.5000, 0.7731)  2 Sn 2.69, 6 Pd 2.91-2.92, 2 Dy 2.92
Pd (0.0000, 0.5000, 0.2269)  2 Sn 2.69, 6 Pd 2.91-2.92, 2 Dy 2.92
Pd (0.5000, 0.0000, 0.7731)  2 Sn 2.69, 6 Pd 2.91-2.92, 2 Dy 2.92
Pd (0.5000, 0.0000, 0.2269)  2 Sn 2.69, 6 Pd 2.91-2.92, 2 Dy 2.92
Pd (0.5000, 0.5000, 0.5000)  4 Dy 2.91, 8 Pd 2.92

Values from the calculation:
Its space group is No. 123. For the total moment, the calculation gives 0.000 μB/cell. Its crystal system is tetragonal.

---

ii) A relaxed structure of DySnPd5, computed with PBE.

Cell: 4.8504 4.8504 11.5680 Å, 89.98 89.98 74.26°
With the nearest neighbours (Å) after each atom.
Sites, in units of the cell vectors:
Dy (0.5008, 0.4992, 0.2500)  10 Pd 2.85-2.93
Dy (0.4992, 0.5008, 0.7500)  10 Pd 2.85-2.93
Sn (0.0000, 0.0000, 0.0000)  10 Pd 2.79-2.89
Sn (0.0000, 0.0000, 0.5000)  10 Pd 2.79-2.89
Pd (0.0009, 0.4996, 0.1199)  6 Pd 2.77-3.01, 2 Sn 2.79, 2 Dy 2.85
Pd (0.9993, 0.5005, 0.6199)  6 Pd 2.77-3.01, 2 Sn 2.79-2.80, 2 Dy 2.85
Pd (0.4996, 0.0009, 0.6199)  6 Pd 2.77-3.01, 2 Sn 2.79, 2 Dy 2.85
Pd (0.0004, 0.9996, 0.2500)  8 Pd 2.85, 2 Sn 2.89, 2 Dy 2.93
Pd (0.4995, 0.0007, 0.8801)  6 Pd 2.77-3.01, 2 Sn 2.79-2.80, 2 Dy 2.85
Pd (0.5005, 0.9993, 0.1199)  6 Pd 2.77-3.01, 2 Sn 2.79-2.80, 2 Dy 2.85
Pd (0.9996, 0.0004, 0.7500)  8 Pd 2.85, 2 Sn 2.89, 2 Dy 2.93
Pd (0.5004, 0.9991, 0.3801)  6 Pd 2.77-3.01, 2 Sn 2.79, 2 Dy 2.85
Pd (0.0007, 0.4995, 0.3801)  6 Pd 2.77-3.01, 2 Sn 2.79-2.80, 2 Dy 2.85
Pd (0.9991, 0.5004, 0.8801)  6 Pd 2.77-3.01, 2 Sn 2.79, 2 Dy 2.85

Values from the calculation:
Its space group is No. 63. For the total moment, the calculation gives 0.000 μB/cell. Its crystal system is orthorhombic.

---

Short version: i) is the most stable of them.

---

i) A relaxed structure of DySnPd6, computed with PBE.

Cell: 5.4538 5.4538 5.4538 Å, 86.91 86.91 86.91°
With the nearest neighbours (Å) after each atom.
Sites, in units of the cell vectors:
Dy (0.0000, 0.0000, 0.0000)  6 Pd 2.75
Sn (0.5000, 0.5000, 0.5000)  6 Pd 2.64
Pd (0.1660, 0.5382, 0.1660)  1 Sn 2.64, 5 Pd 2.69-2.85, 1 Dy 2.75
Pd (0.1660, 0.1660, 0.5382)  1 Sn 2.64, 5 Pd 2.69-2.85, 1 Dy 2.75
Pd (0.8340, 0.4618, 0.8340)  1 Sn 2.64, 5 Pd 2.69-2.85, 1 Dy 2.75
Pd (0.4618, 0.8340, 0.8340)  1 Sn 2.64, 5 Pd 2.69-2.85, 1 Dy 2.75
Pd (0.8340, 0.8340, 0.4618)  1 Sn 2.64, 5 Pd 2.69-2.85, 1 Dy 2.75
Pd (0.5382, 0.1660, 0.1660)  1 Sn 2.64, 5 Pd 2.69-2.85, 1 Dy 2.75

Values from the calculation:
Its space group is No. 166. For the total moment, the calculation gives 0.000 μB/cell. Its crystal system is trigonal.

---

ii) A relaxed structure of DySnPd6, computed with PBE.

Cell: 4.0840 5.7718 5.7718 Å, 90.04 90.00 90.00°
With the nearest neighbours (Å) after each atom.
Sites, in units of the cell vectors:
Dy (0.5000, 0.0000, 0.0000)  12 Pd 2.89-2.91
Sn (0.5000, 0.5000, 0.5000)  12 Pd 2.86-2.89
Pd (0.0000, 0.7461, 0.2539)  8 Pd 2.84-2.93, 2 Sn 2.86, 2 Dy 2.91
Pd (0.0000, 0.2539, 0.7461)  8 Pd 2.84-2.93, 2 Sn 2.86, 2 Dy 2.91
Pd (0.0000, 0.7459, 0.7459)  8 Pd 2.84-2.93, 2 Sn 2.86, 2 Dy 2.91
Pd (0.0000, 0.2541, 0.2541)  8 Pd 2.84-2.93, 2 Sn 2.86, 2 Dy 2.91
Pd (0.5000, 0.5000, 0.0000)  2 Dy 2.89, 2 Sn 2.89, 8 Pd 2.89
Pd (0.5000, 0.0000, 0.5000)  2 Sn 2.89, 2 Dy 2.89, 8 Pd 2.89

Values from the calculation:
Its space group is No. 123. For the total moment, the calculation gives 0.000 μB/cell. Its crystal system is tetragonal.

---

Short version: ii) is the most stable of them.

---

i) A relaxed structure of SrDyPd, computed with PBE.

Cell: 3.6607 3.6607 7.1686 Å, 104.79 104.79 90.00°
With the nearest neighbours (Å) after each atom.
Sites, in units of the cell vectors:
Sr (0.0256, 0.0256, 0.0512)  4 Pd 3.37, 1 Dy 3.51, 4 Sr 3.66
Pd (0.6866, 0.6866, 0.3731)  4 Dy 2.92
Dy (0.2878, 0.2878, 0.5757)  4 Pd 2.92

Values from the calculation:
Its space group is No. 107. For the total moment, the calculation gives 0.000 μB/cell. Its crystal system is tetragonal.

---

ii) A relaxed structure of SrDyPd, computed with PBE.

Cell: 3.8403 6.2213 14.1533 Å, 140.54 90.00 107.98°
With the nearest neighbours (Å) after each atom.
Sites, in units of the cell vectors:
Pd (0.9313, 0.8625, 0.8485)  2 Dy 2.79, 1 Pd 3.11
Pd (0.0687, 0.1375, 0.1515)  2 Dy 2.79, 1 Pd 3.11
Dy (0.7570, 0.5139, 0.3894)  2 Pd 2.79
Dy (0.2430, 0.4861, 0.6106)  2 Pd 2.79
Sr (0.7772, 0.5545, 0.1397)  5 Pd 3.17-3.32
Sr (0.2228, 0.4455, 0.8603)  5 Pd 3.17-3.32

Values from the calculation:
Its space group is No. 12. For the total moment, the calculation gives 0.001 μB/cell. Its crystal system is monoclinic.

---

Short version: i) is the most stable of them.

---

i) A relaxed structure of SrDyPd2, computed with PBE.

Cell: 5.0888 5.0888 5.0888 Å, 60.00 60.00 60.00°
With the nearest neighbours (Å) after each atom.
Sites, in units of the cell vectors:
Sr (0.0000, 0.0000, 0.0000)  8 Pd 3.12
Pd (0.2500, 0.2500, 0.2500)  4 Dy 3.12, 4 Sr 3.12
Pd (0.7500, 0.7500, 0.7500)  4 Dy 3.12, 4 Sr 3.12
Dy (0.5000, 0.5000, 0.5000)  8 Pd 3.12

Values from the calculation:
Its space group is No. 225. For the total moment, the calculation gives 0.000 μB/cell. Its crystal system is cubic.

---

ii) A relaxed structure of SrDyPd2, computed with PBE.

Cell: 3.5808 3.5808 7.4275 Å, 90.00 90.00 90.00°
With the nearest neighbours (Å) after each atom.
Sites, in units of the cell vectors:
Sr (0.5000, 0.5000, 0.5000)  8 Pd 3.33, 4 Sr 3.58, 2 Dy 3.71
Pd (0.0000, 0.0000, 0.7913)  4 Dy 2.97, 1 Pd 3.10
Pd (0.0000, 0.0000, 0.2087)  4 Dy 2.97, 1 Pd 3.10
Dy (0.5000, 0.5000, 0.0000)  8 Pd 2.97

Values from the calculation:
Its space group is No. 123. For the total moment, the calculation gives 0.000 μB/cell. Its crystal system is tetragonal.

---

Short version: ii) is the most stable of them.

---

i) A relaxed structure of Tb2Dy3Pd2, computed with PBE.

Cell: 3.7213 6.4677 9.0718 Å, 115.55 90.00 106.72°
With the nearest neighbours (Å) after each atom.
Sites, in units of the cell vectors:
Tb (0.8432, 0.6864, 0.1872)  2 Pd 3.02
Tb (0.1568, 0.3136, 0.8128)  2 Pd 3.02
Dy (0.5000, 0.0000, 0.0000)  4 Pd 2.90
Dy (0.6138, 0.2275, 0.4403)  3 Pd 2.92-2.95
Dy (0.3862, 0.7725, 0.5597)  3 Pd 2.92-2.95
Pd (0.8302, 0.6604, 0.7642)  5 Dy 2.90-2.95, 2 Tb 3.02
Pd (0.1698, 0.3396, 0.2358)  5 Dy 2.90-2.95, 2 Tb 3.02

Values from the calculation:
Its space group is No. 12. For the total moment, the calculation gives 0.000 μB/cell. Its crystal system is monoclinic.

---

ii) A relaxed structure of Tb2Dy3Pd2, computed with PBE.

Cell: 3.7011 10.1149 6.5921 Å, 55.45 73.77 89.93°
With the nearest neighbours (Å) after each atom.
Sites, in units of the cell vectors:
Tb (0.3870, 0.6251, 0.2257)  1 Pd 2.84
Tb (0.6130, 0.3749, 0.7743)  1 Pd 2.84
Dy (0.0000, 0.0000, 0.0000)  4 Pd 2.95
Dy (0.8435, 0.2875, 0.3131)  3 Pd 2.94-2.97
Dy (0.1565, 0.7125, 0.6869)  3 Pd 2.94-2.97
Pd (0.6414, 0.9271, 0.7177)  1 Tb 2.84, 2 Pd 2.90, 5 Dy 2.94-2.97
Pd (0.3586, 0.0729, 0.2823)  1 Tb 2.84, 2 Pd 2.90, 5 Dy 2.94-2.97

Values from the calculation:
Its space group is No. 2. For the total moment, the calculation gives 0.000 μB/cell. Its crystal system is triclinic.

---

Short version: i) is the most stable of them.

---

i) A relaxed structure of TbDyPd, computed with PBE.

Cell: 7.4127 7.4127 9.7075 Å, 90.00 90.00 120.00°
With the nearest neighbours (Å) after each atom.
Sites, in units of the cell vectors:
Tb (0.0000, 0.2642, 0.0000)  2 Pd 2.76
Tb (0.7358, 0.7358, 0.0000)  2 Pd 2.76
Tb (0.2642, 0.0000, 0.0000)  2 Pd 2.76
Tb (0.0000, 0.2642, 0.5000)  2 Pd 2.76
Tb (0.7358, 0.7358, 0.5000)  2 Pd 2.76
Tb (0.2642, 0.0000, 0.5000)  2 Pd 2.76
Dy (0.9999, 0.5945, 0.2500)  5 Pd 3.01-3.31
Dy (0.4055, 0.4054, 0.2500)  5 Pd 3.01-3.31
Dy (0.5946, 0.0001, 0.2500)  5 Pd 3.01-3.31
Dy (0.4054, 0.4055, 0.7500)  5 Pd 3.01-3.31
Dy (0.0001, 0.5946, 0.7500)  5 Pd 3.01-3.31
Dy (0.5945, 0.9999, 0.7500)  5 Pd 3.01-3.31
Pd (0.0000, 0.0000, 0.2500)  3 Dy 3.01, 6 Tb 3.12
Pd (0.0000, 0.0000, 0.7500)  3 Dy 3.01, 6 Tb 3.12
Pd (0.6667, 0.3333, 0.0001)  3 Tb 2.76
Pd (0.6667, 0.3333, 0.4999)  3 Tb 2.76
Pd (0.3333, 0.6667, 0.9999)  3 Tb 2.76
Pd (0.3333, 0.6667, 0.5001)  3 Tb 2.76

Values from the calculation:
Its space group is No. 189. For the total moment, the calculation gives 0.000 μB/cell. Its crystal system is hexagonal.

---

ii) A relaxed structure of TbDyPd, computed with PBE.

Cell: 7.2619 6.4188 6.9658 Å, 93.27 90.00 90.00°
With the nearest neighbours (Å) after each atom.
Sites, in units of the cell vectors:
Pd (0.5471, 0.7002, 0.2750)  2 Tb 2.83, 4 Dy 2.85-2.92
Pd (0.9529, 0.7002, 0.7750)  2 Tb 2.83, 4 Dy 2.85-2.92
Pd (0.0471, 0.2998, 0.2250)  2 Tb 2.83, 4 Dy 2.85-2.92
Pd (0.4529, 0.2998, 0.7250)  2 Tb 2.83, 4 Dy 2.85-2.92
Tb (0.8944, 0.8957, 0.2395)  2 Pd 2.83
Tb (0.6056, 0.8957, 0.7395)  2 Pd 2.83
Tb (0.3944, 0.1043, 0.2605)  2 Pd 2.83
Tb (0.1056, 0.1043, 0.7605)  2 Pd 2.83
Dy (0.2561, 0.5778, 0.0019)  4 Pd 2.85-2.92
Dy (0.2439, 0.5778, 0.5019)  4 Pd 2.85-2.92
Dy (0.7561, 0.4222, 0.4981)  4 Pd 2.85-2.92
Dy (0.7439, 0.4222, 0.9981)  4 Pd 2.85-2.92

Values from the calculation:
Its space group is No. 14. For the total moment, the calculation gives 0.000 μB/cell. Its crystal system is monoclinic.

---

Short version: ii) is the most stable of them.